# 1
Material: DyPb2IO4
Method: DFT, GGA-PBE
State: optimized geometry

Cell: 4.0028 4.0028 9.5422 Å, 90.00 90.00 90.00°
Sites, in units of the cell vectors:
Dy  0.0000  0.0000  0.0000
Pb  0.5000  0.5000  0.2538
Pb  0.5000  0.5000  0.7462
I  0.0000  0.0000  0.5000
O  0.0000  0.5000  0.1382
O  0.0000  0.5000  0.8618
O  0.5000  0.0000  0.1382
O  0.5000  0.0000  0.8618

Properties
Energy relative to the elements, uncorrected: -1.630 eV per atom
Mass density: 8.34 g cm⁻³

=====

# 2
Material: ZnSeBr2
Method: DFT, GGA-PBE
State: optimized geometry

Cell: 3.7206 4.0747 6.9830 Å, 90.00 90.00 90.00°
Sites, in units of the cell vectors:
Zn  0.0000  0.0000  0.0000
Se  0.5000  0.0000  0.5000
Br  0.0000  0.5000  0.5000
Br  0.5000  0.5000  0.0000

Properties
Energy relative to the elements, uncorrected: 0.062 eV per atom
Energy above the most stable polymorph in this dataset: 2.00 eV per formula unit
Mass density: 4.77 g cm⁻³

=====

# 3
Material: TaTl2GeO6
Method: DFT, GGA-PBE
State: optimized geometry

Cell: 6.3925 6.3925 6.3925 Å, 130.95 130.95 71.89°
Sites, in units of the cell vectors:
Ta  0.0000  0.0000  0.0000
Tl  0.2614  0.7614  0.5000
Tl  0.7614  0.2614  0.5000
Ge  0.5051  0.5051  0.0000
O  0.1756  0.1756  0.0000
O  0.2115  0.2115  0.5141
O  0.2115  0.6974  0.0000
O  0.6796  0.6796  0.0000
O  0.6974  0.2115  0.0000
O  0.6974  0.6974  0.4859

Properties
Energy relative to the elements, uncorrected: -1.607 eV per atom
Mass density: 8.64 g cm⁻³

=====

# 4
Material: VBOs3
Method: DFT, GGA-PBE
State: optimized geometry

Cell: 4.4615 4.4615 4.4615 Å, 90.00 90.00 90.00°
Sites, in units of the cell vectors:
V  0.0000  0.0000  0.0000
B  0.5000  0.5000  0.5000
Os  0.0000  0.0000  0.5000
Os  0.0000  0.5000  0.0000
Os  0.5000  0.0000  0.0000

Properties
ΔH_f (0 K): 2.6303 eV/atom
Mass density: 11.83 g cm⁻³

=====

# 5
Material: LiZnBi2
Method: DFT, GGA-PBE
State: optimized geometry

Cell: 4.8814 4.8814 4.0668 Å, 90.00 90.00 90.00°
Sites, in units of the cell vectors:
Li  0.0000  0.0000  0.0000
Zn  0.5000  0.5000  0.0000
Bi  0.0000  0.5000  0.5000
Bi  0.5000  0.0000  0.5000

Properties
ΔH_f (0 K): -0.0880 eV/atom
Mass density: 8.40 g cm⁻³

=====

# 6
Material: CuNi7Rh2
Method: DFT, GGA-PBE
State: optimized geometry

Cell: 7.0215 7.0215 3.7323 Å, 90.00 90.00 126.14°
Sites, in units of the cell vectors:
Cu  0.0000  0.0000  0.0000
Ni  0.0856  0.2818  0.5000
Ni  0.1875  0.8125  0.0000
Ni  0.2818  0.0856  0.5000
Ni  0.5000  0.5000  0.5000
Ni  0.7182  0.9144  0.5000
Ni  0.8125  0.1875  0.0000
Ni  0.9144  0.7182  0.5000
Rh  0.2989  0.7011  0.5000
Rh  0.7011  0.2989  0.5000

Properties
ΔH_f (0 K): 0.6057 eV/atom
Energy above the most stable polymorph in this dataset: 5.75 eV per formula unit
Mass density: 7.60 g cm⁻³